Entry 1:
Compound: ZnPb2F
Source: Alexandria via LeMat-Bulk
Functional: GGA-PBE
Structure: optimized geometry

## Properties
Offset from the most stable computed form: 0 meV per atom
Volume: 21.36 A^3/atom
Density of states at the Fermi level: 3.58 states/eV per cell
Formation energy from raw total energies: -547.0 meV per atom
ρ: 9.696 g cm⁻³

Geometry as CIF:
```
data_ZnPb2F
_chemical_formula_sum 'Zn1 Pb2 F1'
_cell_length_a 4.944
_cell_length_b 4.944
_cell_length_c 4.944
_cell_angle_alpha 60.00
_cell_angle_beta 60.00
_cell_angle_gamma 60.00
_space_group_name_H-M_alt 'P 1'
_space_group_IT_number 1
loop_
_space_group_symop_operation_xyz
'x,y,z'
loop_
_atom_site_label
_atom_site_type_symbol
_atom_site_fract_x
_atom_site_fract_y
_atom_site_fract_z
_atom_site_occupancy
Pb1 Pb 0.750 0.750 0.750 1
Pb2 Pb 0.250 0.250 0.250 1
F1 F 0.000 0.000 0.000 1
Zn1 Zn 0.500 0.500 0.500 1
```

Entry 2:
Compound: Zn3Pb2F10
Source: Alexandria via LeMat-Bulk
Functional: GGA-PBE
Structure: optimized geometry

## Properties
Volume: 13.82 A^3/atom
Density of states at the Fermi level: 0.00 states/eV per cell
Formation energy from raw total energies: -2312.9 meV per atom
ρ: 6.414 g cm⁻³

Geometry as CIF:
```
data_Zn3Pb2F10
_chemical_formula_sum 'Zn6 Pb4 F20'
_cell_length_a 6.034
_cell_length_b 7.809
_cell_length_c 9.898
_cell_angle_alpha 110.03
_cell_angle_beta 107.75
_cell_angle_gamma 90.00
_space_group_name_H-M_alt 'P 1'
_space_group_IT_number 1
loop_
_space_group_symop_operation_xyz
'x,y,z'
loop_
_atom_site_label
_atom_site_type_symbol
_atom_site_fract_x
_atom_site_fract_y
_atom_site_fract_z
_atom_site_occupancy
F1 F 0.000 0.000 0.500 1
F2 F 0.500 0.000 0.500 1
F3 F 0.378 0.060 0.234 1
F4 F 0.985 0.819 0.970 1
F5 F 0.404 0.459 0.285 1
F6 F 0.857 0.060 0.234 1
F7 F 0.507 0.185 0.013 1
F8 F 0.622 0.940 0.766 1
F9 F 0.765 0.500 0.000 1
F10 F 0.134 0.740 0.267 1
F11 F 0.119 0.541 0.715 1
F12 F 0.596 0.541 0.715 1
F13 F 0.493 0.815 0.987 1
F14 F 0.755 0.705 0.509 1
F15 F 0.245 0.295 0.491 1
F16 F 0.235 0.500 0.000 1
F17 F 0.015 0.181 0.030 1
F18 F 0.866 0.260 0.733 1
F19 F 0.881 0.459 0.285 1
F20 F 0.143 0.940 0.766 1
Zn1 Zn 0.259 0.000 0.000 1
Zn2 Zn 0.820 0.979 0.640 1
Zn3 Zn 0.927 0.546 0.854 1
Zn4 Zn 0.741 0.000 0.000 1
Zn5 Zn 0.073 0.454 0.146 1
Zn6 Zn 0.180 0.021 0.360 1
Pb1 Pb 0.704 0.302 0.409 1
Pb2 Pb 0.382 0.310 0.764 1
Pb3 Pb 0.618 0.690 0.236 1
Pb4 Pb 0.296 0.698 0.591 1
```

Entry 3:
Compound: ZnPb2F5
Source: Alexandria via LeMat-Bulk
Functional: GGA-PBE
Structure: optimized geometry

## Properties
Volume: 18.88 A^3/atom
Density of states at the Fermi level: 2.42 states/eV per cell
Formation energy from raw total energies: -1984.1 meV per atom
ρ: 6.318 g cm⁻³

Geometry as CIF:
```
data_ZnPb2F5
_chemical_formula_sum 'Zn1 Pb2 F5'
_cell_length_a 5.601
_cell_length_b 5.601
_cell_length_c 6.234
_cell_angle_alpha 116.67
_cell_angle_beta 116.68
_cell_angle_gamma 90.05
_space_group_name_H-M_alt 'P 1'
_space_group_IT_number 1
loop_
_space_group_symop_operation_xyz
'x,y,z'
loop_
_atom_site_label
_atom_site_type_symbol
_atom_site_fract_x
_atom_site_fract_y
_atom_site_fract_z
_atom_site_occupancy
F1 F 0.791 0.791 0.071 1
F2 F 0.773 0.774 0.546 1
F3 F 0.280 0.791 0.071 1
F4 F 0.791 0.280 0.071 1
F5 F 0.280 0.280 0.072 1
Pb1 Pb 0.692 0.192 0.385 1
Pb2 Pb 0.192 0.692 0.385 1
Zn1 Zn 0.976 0.976 0.952 1
```

Entry 4:
Compound: ZnPbF2
Source: Alexandria via LeMat-Bulk
Functional: GGA-PBE
Structure: optimized geometry

## Properties
Offset from the most stable computed form: 183 meV per atom
Volume: 18.42 A^3/atom
Density of states at the Fermi level: 0.66 states/eV per cell
Formation energy from raw total energies: -1349.4 meV per atom
ρ: 6.999 g cm⁻³

Geometry as CIF:
```
data_ZnPbF2
_chemical_formula_sum 'Zn2 Pb2 F4'
_cell_length_a 5.538
_cell_length_b 5.538
_cell_length_c 6.199
_cell_angle_alpha 63.47
_cell_angle_beta 63.47
_cell_angle_gamma 90.00
_space_group_name_H-M_alt 'P 1'
_space_group_IT_number 1
loop_
_space_group_symop_operation_xyz
'x,y,z'
loop_
_atom_site_label
_atom_site_type_symbol
_atom_site_fract_x
_atom_site_fract_y
_atom_site_fract_z
_atom_site_occupancy
Pb1 Pb 0.750 0.250 0.500 1
Pb2 Pb 0.000 0.000 0.000 1
F1 F 0.265 0.625 0.250 1
F2 F 0.875 0.735 0.750 1
F3 F 0.375 0.515 0.750 1
F4 F 0.485 0.125 0.250 1
Zn1 Zn 0.500 0.500 0.000 1
Zn2 Zn 0.250 0.750 0.500 1
```

Entry 5:
Compound: Zn2Pb5F12
Source: Alexandria via LeMat-Bulk
Functional: GGA-PBE
Structure: optimized geometry

## Properties
Volume: 17.81 A^3/atom
Density of states at the Fermi level: 3.12 states/eV per cell
Formation energy from raw total energies: -2106.4 meV per atom
ρ: 6.845 g cm⁻³

Geometry as CIF:
```
data_Zn2Pb5F12
_chemical_formula_sum 'Zn2 Pb5 F12'
_cell_length_a 6.277
_cell_length_b 7.818
_cell_length_c 8.196
_cell_angle_alpha 111.23
_cell_angle_beta 90.00
_cell_angle_gamma 113.67
_space_group_name_H-M_alt 'P 1'
_space_group_IT_number 1
loop_
_space_group_symop_operation_xyz
'x,y,z'
loop_
_atom_site_label
_atom_site_type_symbol
_atom_site_fract_x
_atom_site_fract_y
_atom_site_fract_z
_atom_site_occupancy
Zn1 Zn 0.759 0.000 0.000 1
Zn2 Zn 0.241 0.000 0.000 1
F1 F 0.413 0.311 0.085 1
F2 F 0.007 0.014 0.179 1
F3 F 0.495 0.991 0.826 1
F4 F 0.601 0.735 0.380 1
F5 F 0.101 0.689 0.915 1
F6 F 0.993 0.986 0.821 1
F7 F 0.587 0.689 0.915 1
F8 F 0.134 0.735 0.380 1
F9 F 0.899 0.311 0.085 1
F10 F 0.399 0.265 0.620 1
F11 F 0.505 0.009 0.174 1
F12 F 0.866 0.265 0.620 1
Pb1 Pb 0.704 0.407 0.416 1
Pb2 Pb 0.000 0.000 0.500 1
Pb3 Pb 0.296 0.593 0.584 1
Pb4 Pb 0.309 0.617 0.131 1
Pb5 Pb 0.691 0.383 0.869 1
```

Entry 6:
Compound: Zn6Pb4F19
Source: Alexandria via LeMat-Bulk
Functional: GGA-PBE
Structure: optimized geometry

## Properties
Volume: 14.58 A^3/atom
Density of states at the Fermi level: 6.78 states/eV per cell
Formation energy from raw total energies: -2236.4 meV per atom
ρ: 6.212 g cm⁻³

Geometry as CIF:
```
data_Zn6Pb4F19
_chemical_formula_sum 'Zn6 Pb4 F19'
_cell_length_a 8.190
_cell_length_b 8.190
_cell_length_c 8.190
_cell_angle_alpha 109.47
_cell_angle_beta 109.47
_cell_angle_gamma 109.47
_space_group_name_H-M_alt 'P 1'
_space_group_IT_number 1
loop_
_space_group_symop_operation_xyz
'x,y,z'
loop_
_atom_site_label
_atom_site_type_symbol
_atom_site_fract_x
_atom_site_fract_y
_atom_site_fract_z
_atom_site_occupancy
F1 F 0.743 0.035 0.351 1
F2 F 0.000 0.648 0.648 1
F3 F 0.035 0.351 0.743 1
F4 F 0.257 0.608 0.291 1
F5 F 0.352 0.000 0.352 1
F6 F 0.608 0.291 0.257 1
F7 F 0.000 0.000 0.000 1
F8 F 0.709 0.317 0.965 1
F9 F 0.392 0.649 0.683 1
F10 F 0.683 0.392 0.649 1
F11 F 0.291 0.257 0.608 1
F12 F 0.351 0.743 0.035 1
F13 F 0.648 0.648 0.000 1
F14 F 0.000 0.352 0.352 1
F15 F 0.648 0.000 0.648 1
F16 F 0.317 0.965 0.709 1
F17 F 0.352 0.352 0.000 1
F18 F 0.965 0.709 0.317 1
F19 F 0.649 0.683 0.392 1
Zn1 Zn 0.835 0.335 0.500 1
Zn2 Zn 0.335 0.500 0.835 1
Zn3 Zn 0.500 0.165 0.665 1
Zn4 Zn 0.665 0.500 0.165 1
Zn5 Zn 0.165 0.665 0.500 1
Zn6 Zn 0.500 0.835 0.335 1
Pb1 Pb 0.000 0.681 0.000 1
Pb2 Pb 0.000 0.000 0.681 1
Pb3 Pb 0.681 0.000 0.000 1
Pb4 Pb 0.319 0.319 0.319 1
```